Entry from Alexandria: an optimized crystal structure of MoPt3Br (GGA-PBE).

Computed properties:
total energy = -24.487 eV per cell
formation energy (no corrections) = 1228 meV/atom
SG = Pm-3m, No. 221
total magnetization = 0.000 μB per atom

Cell and atoms, written as POSCAR:
```
MoPt3Br
1.0
4.8801 0.0000 0.0000
0.0000 4.8801 0.0000
0.0000 0.0000 4.8801
Pt Br Mo
3 1 1
Cartesian
2.4401 0.0000 0.0000
0.0000 0.0000 2.4401
0.0000 2.4401 0.0000
2.4401 2.4401 2.4401
0.0000 0.0000 0.0000
```